a.
This record from Alexandria via LeMat-Bulk describes a geometry-optimized SbRhSN2 structure. The functional is PBE.

Unit cell a=3.9448 b=3.9448 c=5.2720 alpha=90.00 beta=90.00 gamma=90.00
Last column: nearest neighbours and their distance in Å.
Space group P4/mmm (No. 123)
Inequivalent atoms, fractional coordinates:
Sb: 0.0000 0.0000 0.0000 (multiplicity 1)  4 N 1.97
Rh: 0.5000 0.5000 0.5000 (multiplicity 1)  4 S 2.79
S: 0.0000 0.0000 0.5000 (multiplicity 1)  2 Sb 2.64, 4 Rh 2.79
N: 0.0000 0.5000 0.0000 (multiplicity 2)  2 Sb 1.97

Summary:
magnetic moment = 2.9 μB/f.u.

b.
This record from Alexandria via LeMat-Bulk describes a geometry-optimized SbRhSN2 structure. The functional is PBE.

Unit cell a=3.9251 b=3.9251 c=4.9243 alpha=90.00 beta=90.00 gamma=90.00
Last column: nearest neighbours and their distance in Å.
Space group P4/mmm (No. 123)
Inequivalent atoms, fractional coordinates:
Sb: 0.0000 0.0000 0.0000 (multiplicity 1)  4 S 2.78
Rh: 0.5000 0.5000 0.5000 (multiplicity 1)  4 N 1.96
S: 0.5000 0.5000 0.0000 (multiplicity 1)  2 Rh 2.46
N: 0.0000 0.5000 0.5000 (multiplicity 2)  2 Rh 1.96

Summary:
magnetic moment = 0.7 μB/f.u.

Stability, highest: b

a.
This record from Alexandria via LeMat-Bulk describes a geometry-optimized SbRh2SN structure. The functional is PBE.

Unit cell a=3.9943 b=3.9943 c=5.1259 alpha=90.00 beta=90.00 gamma=90.00
Last column: nearest neighbours and their distance in Å.
Space group P4/mmm (No. 123)
Inequivalent atoms, fractional coordinates:
Sb: 0.0000 0.0000 0.0000 (multiplicity 1)  2 N 2.56, 4 S 2.82
Rh: 0.0000 0.5000 0.5000 (multiplicity 2)  2 N 2.00
S: 0.5000 0.5000 0.0000 (multiplicity 1)  4 Sb 2.82
N: 0.0000 0.0000 0.5000 (multiplicity 1)  4 Rh 2.00

Summary:
magnetic moment = 0.0 μB/f.u.

b.
This record from Alexandria via LeMat-Bulk describes a geometry-optimized SbRh2SN structure. The functional is PBE.

Unit cell a=4.9978 b=4.9978 c=5.0529 alpha=90.00 beta=90.00 gamma=90.00
Last column: nearest neighbours and their distance in Å.
Space group P4/mmm (No. 123)
Inequivalent atoms, fractional coordinates:
Sb: 0.0000 0.0000 0.0000 (multiplicity 1)  4 Rh 2.50, 2 S 2.53
Rh: 0.0000 0.5000 0.0000 (multiplicity 2)  2 Sb 2.50
S: 0.0000 0.0000 0.5000 (multiplicity 1)  2 Sb 2.53
N: 0.5000 0.5000 0.5000 (multiplicity 1)  4 S 3.53, 8 Rh 3.55

Summary:
magnetic moment = 3.9 μB/f.u.

Stability, highest: a

a.
This record from Alexandria via LeMat-Bulk describes a geometry-optimized SbRhS2N structure. The functional is PBE.

Unit cell a=4.9138 b=4.9138 c=3.6686 alpha=90.00 beta=90.00 gamma=90.00
Last column: nearest neighbours and their distance in Å.
Space group P4/mmm (No. 123)
Inequivalent atoms, fractional coordinates:
Sb: 0.0000 0.0000 0.0000 (multiplicity 1)  8 S 3.07
Rh: 0.5000 0.5000 0.5000 (multiplicity 1)  2 N 1.83
S: 0.0000 0.5000 0.5000 (multiplicity 2)  2 Rh 2.46
N: 0.5000 0.5000 0.0000 (multiplicity 1)  2 Rh 1.83

Summary:
magnetic moment = 0.0 μB/f.u.

b.
This record from Alexandria via LeMat-Bulk describes a geometry-optimized SbRhS2N structure. The functional is PBE.

Unit cell a=5.0385 b=5.0385 c=3.8849 alpha=90.00 beta=90.00 gamma=90.00
Last column: nearest neighbours and their distance in Å.
Space group P4/mmm (No. 123)
Inequivalent atoms, fractional coordinates:
Sb: 0.0000 0.0000 0.0000 (multiplicity 1)  2 N 1.94
Rh: 0.5000 0.5000 0.5000 (multiplicity 1)  8 S 3.18, 4 N 3.56
S: 0.0000 0.5000 0.0000 (multiplicity 2)  2 Sb 2.52
N: 0.0000 0.0000 0.5000 (multiplicity 1)  2 Sb 1.94

Summary:
magnetic moment = 3.0 μB/f.u.

Stability, highest: a

a.
This record from Alexandria via LeMat-Bulk describes a geometry-optimized RhSeSN2 structure. The functional is PBE.

Unit cell a=3.7355 b=3.7355 c=5.8062 alpha=90.00 beta=90.00 gamma=90.00
Last column: nearest neighbours and their distance in Å.
Space group P4/mmm (No. 123)
Inequivalent atoms, fractional coordinates:
Rh: 0.0000 0.0000 0.0000 (multiplicity 1)  4 N 1.87
Se: 0.0000 0.0000 0.5000 (multiplicity 1)  4 S 2.64, 2 Rh 2.90
S: 0.5000 0.5000 0.5000 (multiplicity 1)  4 Se 2.64
N: 0.0000 0.5000 0.0000 (multiplicity 2)  2 Rh 1.87

Summary:
magnetic moment = 0.4 μB/f.u.

b.
This record from Alexandria via LeMat-Bulk describes a geometry-optimized RhSeSN2 structure. The functional is PBE.

Unit cell a=3.4158 b=3.4158 c=7.6518 alpha=90.00 beta=90.00 gamma=90.00
Last column: nearest neighbours and their distance in Å.
Space group P4/mmm (No. 123)
Inequivalent atoms, fractional coordinates:
Rh: 0.0000 0.0000 0.0000 (multiplicity 1)  4 Se 2.42
Se: 0.5000 0.5000 0.0000 (multiplicity 1)  4 Rh 2.42
S: 0.5000 0.5000 0.5000 (multiplicity 1)  4 N 1.71
N: 0.0000 0.5000 0.5000 (multiplicity 2)  2 S 1.71

Summary:
magnetic moment = 0.1 μB/f.u.

c.
This record from Alexandria via LeMat-Bulk describes a geometry-optimized RhSeSN2 structure. The functional is PBE.

Unit cell a=3.7586 b=3.7586 c=5.5080 alpha=90.00 beta=90.00 gamma=90.00
Last column: nearest neighbours and their distance in Å.
Space group P4/mmm (No. 123)
Inequivalent atoms, fractional coordinates:
Rh: 0.0000 0.0000 0.0000 (multiplicity 1)  4 N 1.88
Se: 0.5000 0.5000 0.5000 (multiplicity 1)  4 S 2.66
S: 0.0000 0.0000 0.5000 (multiplicity 1)  4 Se 2.66, 2 Rh 2.75
N: 0.0000 0.5000 0.0000 (multiplicity 2)  2 Rh 1.88

Summary:
magnetic moment = 0.4 μB/f.u.

d.
This record from Alexandria via LeMat-Bulk describes a geometry-optimized RhSeSN2 structure. The functional is PBE.

Unit cell a=3.5611 b=3.5611 c=6.9204 alpha=90.00 beta=90.00 gamma=90.00
Last column: nearest neighbours and their distance in Å.
Space group P4/mmm (No. 123)
Inequivalent atoms, fractional coordinates:
Rh: 0.0000 0.0000 0.0000 (multiplicity 1)  4 S 2.52
Se: 0.5000 0.5000 0.5000 (multiplicity 1)  4 N 1.78
S: 0.5000 0.5000 0.0000 (multiplicity 1)  4 Rh 2.52
N: 0.0000 0.5000 0.5000 (multiplicity 2)  2 Se 1.78

Summary:
magnetic moment = 0.7 μB/f.u.

Stability, highest: a

a.
This record from Alexandria via LeMat-Bulk describes a geometry-optimized SnRhS2N structure. The functional is PBE.

Unit cell a=4.9586 b=4.9586 c=3.6781 alpha=90.00 beta=90.00 gamma=90.00
Last column: nearest neighbours and their distance in Å.
Space group P4/mmm (No. 123)
Inequivalent atoms, fractional coordinates:
Sn: 0.0000 0.0000 0.0000 (multiplicity 1)  8 S 3.09
Rh: 0.5000 0.5000 0.5000 (multiplicity 1)  2 N 1.84
S: 0.0000 0.5000 0.5000 (multiplicity 2)  2 Rh 2.48
N: 0.5000 0.5000 0.0000 (multiplicity 1)  2 Rh 1.84

Summary:
magnetic moment = 0.0 μB/f.u.

b.
This record from Alexandria via LeMat-Bulk describes a geometry-optimized SnRhS2N structure. The functional is PBE.

Unit cell a=5.0267 b=5.0267 c=3.9872 alpha=90.00 beta=90.00 gamma=90.00
Last column: nearest neighbours and their distance in Å.
Space group P4/mmm (No. 123)
Inequivalent atoms, fractional coordinates:
Sn: 0.0000 0.0000 0.0000 (multiplicity 1)  2 N 1.99
Rh: 0.5000 0.5000 0.5000 (multiplicity 1)  8 S 3.21, 4 N 3.55
S: 0.0000 0.5000 0.0000 (multiplicity 2)  2 Sn 2.51
N: 0.0000 0.0000 0.5000 (multiplicity 1)  2 Sn 1.99

Summary:
magnetic moment = 3.4 μB/f.u.

Stability, highest: a

a.
This record from Alexandria via LeMat-Bulk describes a geometry-optimized SnRhSN2 structure. The functional is PBE.

Unit cell a=4.0252 b=4.0252 c=5.3228 alpha=90.00 beta=90.00 gamma=90.00
Last column: nearest neighbours and their distance in Å.
Space group P4/mmm (No. 123)
Inequivalent atoms, fractional coordinates:
Sn: 0.0000 0.0000 0.0000 (multiplicity 1)  4 N 2.01
Rh: 0.5000 0.5000 0.5000 (multiplicity 1)  4 S 2.85
S: 0.0000 0.0000 0.5000 (multiplicity 1)  2 Sn 2.66, 4 Rh 2.85
N: 0.0000 0.5000 0.0000 (multiplicity 2)  2 Sn 2.01

Summary:
magnetic moment = 4.0 μB/f.u.

b.
This record from Alexandria via LeMat-Bulk describes a geometry-optimized SnRhSN2 structure. The functional is PBE.

Unit cell a=3.9176 b=3.9176 c=5.0678 alpha=90.00 beta=90.00 gamma=90.00
Last column: nearest neighbours and their distance in Å.
Space group P4/mmm (No. 123)
Inequivalent atoms, fractional coordinates:
Sn: 0.0000 0.0000 0.0000 (multiplicity 1)  4 S 2.77
Rh: 0.5000 0.5000 0.5000 (multiplicity 1)  4 N 1.96
S: 0.5000 0.5000 0.0000 (multiplicity 1)  2 Rh 2.53, 4 Sn 2.77
N: 0.0000 0.5000 0.5000 (multiplicity 2)  2 Rh 1.96

Summary:
magnetic moment = 0.4 μB/f.u.

Stability, highest: b